Entry 1:
HoMg4Sc | Alexandria via LeMat-Bulk | GGA-PBE | relaxed; volume = 147.5 Å³ per cell; E_form = -0.03 eV per atom
1.0
-2.3496 -3.1576 -3.3139
-1.5848 -5.4023 2.2769
-5.6618 1.6044 -1.5088
Mg Sc Ho
4 1 1
Cartesian
-1.7101 -2.9030 -0.0157
-7.8860 -4.0525 -2.5301
-6.5231 -6.3833 -1.2755
-3.0731 -0.5722 -1.2702
0.0000 0.0000 0.0000
-4.7981 -3.4777 -1.2729

Entry 2:
Ho2Mg2Sc | Alexandria via LeMat-Bulk | GGA-PBE | relaxed; volume = 263.4 Å³ per cell; E_form = -0.03 eV per atom
1.0
-2.5139 2.5450 0.5371
-1.2817 -0.1818 -5.1370
-8.0528 -11.0253 2.3993
Mg Ho Sc
4 4 2
Cartesian
-2.7043 0.0444 -0.6927
-7.0307 -7.0748 0.6387
-9.1440 -8.7065 -1.5079
-4.8177 -1.5874 -2.8393
-6.4674 -3.8948 0.3856
-1.7371 -0.9489 -3.6304
-10.1113 -7.7132 1.4299
-5.3809 -4.7673 -2.5862
-8.6391 -5.5896 -1.7442
-3.2092 -3.0725 -0.4564

Entry 3:
HoMg7Sc2 | Alexandria via LeMat-Bulk | GGA-PBE | relaxed; volume = 261.4 Å³ per cell; E_form = 0.26 eV per atom
1.0
-1.9647 2.4514 0.8756
-3.0882 -4.3504 5.2503
8.8596 5.5133 4.4437
Mg Sc Ho
7 2 1
Cartesian
0.1318 -1.4105 4.2445
0.3197 1.2692 3.2375
-1.6123 -1.4524 6.5220
-2.5264 -0.9495 3.0630
3.4870 2.3451 7.3322
5.6396 2.5734 5.4495
5.4190 5.0667 4.0476
2.8450 2.9721 4.1361
0.9617 0.6422 6.4335
0.0000 0.0000 0.0000

Entry 4:
HoMgSc4 | Alexandria via LeMat-Bulk | GGA-PBE | relaxed; volume = 151.4 Å³ per cell; E_form = 0.01 eV per atom
1.0
3.3284 0.0000 0.0000
0.0000 3.3284 0.0000
0.0000 0.0000 13.6626
Ho Mg Sc
1 1 4
Cartesian
0.0000 0.0000 0.0000
1.6642 1.6642 6.8313
1.6642 1.6642 2.4290
0.0000 0.0000 9.0215
1.6642 1.6642 11.2336
0.0000 0.0000 4.6411